TlHgAs2 | meta-GGA SCAN | single point on PBEsol structure

Summary:
Crystal system   monoclinic
Density   9402 kg/m3
Offset from the most stable computed form   0.062 eV/atom
M_tot   0.0 μB per formula unit
D(E_F)   0.90 states/eV/f.u.

```
data_TlHgAs2
_chemical_formula_sum 'Tl2 Hg2 As4'
_cell_length_a 11.354
_cell_length_b 3.569
_cell_length_c 5.483
_cell_angle_alpha 90.00
_cell_angle_beta 118.12
_cell_angle_gamma 90.00
_symmetry_space_group_name_H-M 'C 1 m 1'
_symmetry_Int_Tables_number 8
loop_
_symmetry_equiv_pos_as_xyz
'x,y,z'
'x,-y,z'
'x+1/2,y+1/2,z'
'x+1/2,-y+1/2,z'
loop_
_atom_site_label
_atom_site_type_symbol
_atom_site_fract_x
_atom_site_fract_y
_atom_site_fract_z
_atom_site_occupancy
Tl1 Tl 0.000 0.000 0.000 1
Hg1 Hg 0.306 0.500 0.369 1
As1 As 0.085 0.500 0.560 1
As2 As 0.232 0.000 0.855 1
```

---

HgAs2W | meta-GGA SCAN | single point on PBEsol structure

Summary:
Crystal system   tetragonal
Density   12769 kg/m3
M_tot   0.0 μB per formula unit
D(E_F)   3.73 states/eV/f.u.

```
data_HgAs2W
_chemical_formula_sum 'Hg2 As4 W2'
_cell_length_a 4.273
_cell_length_b 4.273
_cell_length_c 7.609
_cell_angle_alpha 90.00
_cell_angle_beta 90.00
_cell_angle_gamma 90.00
_symmetry_space_group_name_H-M 'I 4/m m m'
_symmetry_Int_Tables_number 139
_symmetry_space_group_name_Hall '-I 4 2'
loop_
_atom_site_label
_atom_site_type_symbol
_atom_site_fract_x
_atom_site_fract_y
_atom_site_fract_z
_atom_site_occupancy
Hg1 Hg 0.000 0.000 0.000 1
As1 As 0.000 0.500 0.250 1
W1 W 0.000 0.000 0.500 1
```

---

Listing DFT formation energy for the structures above in their given order: 76; 818 meV per atom.